Entry 1:
The following is a DFT calculation (PBE-GGA) of crystalline GdMgZn at its relaxed geometry.

Calculated values
As for the electronic total energy: -7.83 eV/f.u.

a b c (Å): 6.3425 6.5878 7.7075
angles (deg): 86.44 89.86 61.84
Closest atoms and distances in Å follow each position.
Fractional positions:
1 Gd 0.0000 0.0000 0.0000  3 Zn 2.96-3.03, 1 Mg 3.16, 1 Gd 3.24
2 Gd 0.1066 0.2956 0.6231  4 Zn 2.98-3.29
3 Gd 0.2392 0.7303 0.5578  3 Zn 2.90-3.05
4 Gd 0.5393 0.5783 0.9867  3 Zn 2.91-3.07, 1 Mg 3.22, 1 Gd 3.24
5 Mg 0.4548 0.1226 0.9940  4 Zn 2.72-2.97
6 Mg 0.6815 0.8461 0.6744  2 Zn 2.76-2.91, 2 Mg 2.99-3.09
7 Mg 0.7045 0.2199 0.3605  2 Zn 2.70-2.78
8 Mg 0.7609 0.7159 0.3060  2 Zn 2.67-2.79, 1 Mg 2.99
9 Zn 0.0265 0.5483 0.9454  1 Zn 2.58, 1 Mg 2.84
10 Zn 0.2289 0.4791 0.2495  2 Zn 2.58-2.71, 2 Mg 2.67-2.78
11 Zn 0.2790 0.0478 0.2992  1 Zn 2.71, 2 Mg 2.72-2.79, 3 Gd 2.90-3.03
12 Zn 0.6510 0.2741 0.7046  3 Mg 2.70-2.90, 2 Gd 2.91-3.01

Entry 2:
The following is a DFT calculation (PBE-GGA) of crystalline AgHg2Bi at its relaxed geometry.

Calculated values
As for the electronic total energy: -6.76 eV/f.u.

a b c (Å): 7.3594 7.3594 7.3594
angles (deg): 90.00 90.00 90.00
Closest atoms and distances in Å follow each position.
Fractional positions:
1 Ag 0.0000 0.0000 0.0000  4 Hg 3.19, 4 Bi 3.19
2 Ag 0.0000 0.5000 0.5000  4 Hg 3.19, 4 Bi 3.19
3 Ag 0.5000 0.0000 0.5000  4 Hg 3.19, 4 Bi 3.19
4 Ag 0.5000 0.5000 0.0000  4 Hg 3.19, 4 Bi 3.19
5 Hg 0.0000 0.0000 0.5000  4 Hg 3.19, 4 Bi 3.19
6 Hg 0.0000 0.5000 0.0000  4 Bi 3.19, 4 Hg 3.19
7 Hg 0.2500 0.2500 0.2500  4 Hg 3.19, 4 Ag 3.19
8 Hg 0.2500 0.7500 0.7500  4 Hg 3.19, 4 Ag 3.19
9 Hg 0.5000 0.0000 0.0000  4 Bi 3.19, 4 Hg 3.19
10 Hg 0.5000 0.5000 0.5000  4 Hg 3.19, 4 Bi 3.19
11 Hg 0.7500 0.2500 0.7500  4 Hg 3.19, 4 Ag 3.19
12 Hg 0.7500 0.7500 0.2500  4 Hg 3.19, 4 Ag 3.19
13 Bi 0.2500 0.2500 0.7500  4 Hg 3.19, 4 Ag 3.19
14 Bi 0.2500 0.7500 0.2500  4 Hg 3.19, 4 Ag 3.19
15 Bi 0.7500 0.2500 0.2500  4 Hg 3.19, 4 Ag 3.19
16 Bi 0.7500 0.7500 0.7500  4 Hg 3.19, 4 Ag 3.19

Entry 3:
The following is a DFT calculation (PBE-GGA) of crystalline CuTe5Pd3 at its relaxed geometry.

Calculated values
As for the electronic total energy: -34.11 eV/f.u.

a b c (Å): 5.7548 5.7548 7.8595
angles (deg): 90.00 90.00 120.00
Closest atoms and distances in Å follow each position.
Fractional positions:
1 Cu 0.0000 0.0000 0.0000  14 Te 3.73-3.93
2 Te 0.0000 0.0000 0.5000  6 Pd 2.88
3 Te 0.3333 0.6667 0.2150  3 Pd 2.79
4 Te 0.3333 0.6667 0.7850  3 Pd 2.79
5 Te 0.6667 0.3333 0.2150  3 Pd 2.79
6 Te 0.6667 0.3333 0.7850  3 Pd 2.79
7 Pd 0.0000 0.5000 0.5000  6 Te 2.79-2.88, 4 Pd 2.88
8 Pd 0.5000 0.0000 0.5000  6 Te 2.79-2.88, 4 Pd 2.88
9 Pd 0.5000 0.5000 0.5000  6 Te 2.79-2.88, 4 Pd 2.88

Entry 4:
The following is a DFT calculation (PBE-GGA) of crystalline TbPrGe2Pd4 at its relaxed geometry.

Calculated values
As for the electronic total energy: -45.76 eV/f.u.

a b c (Å): 4.4338 4.4338 9.2470
angles (deg): 90.00 90.00 120.00
Closest atoms and distances in Å follow each position.
Fractional positions:
1 Tb 0.0000 0.0000 0.0000  8 Pd 2.96-2.98
2 Pr 0.3333 0.6667 0.5000  8 Pd 3.05-3.09
3 Ge 0.6667 0.3333 0.2416  6 Pd 2.65-2.66
4 Ge 0.6667 0.3333 0.7584  6 Pd 2.65-2.66
5 Pd 0.0000 0.0000 0.3200  3 Ge 2.66, 3 Pd 2.93, 1 Tb 2.96
6 Pd 0.0000 0.0000 0.6800  3 Ge 2.66, 3 Pd 2.93, 1 Tb 2.96
7 Pd 0.3333 0.6667 0.1658  3 Ge 2.65, 3 Pd 2.93
8 Pd 0.3333 0.6667 0.8342  3 Ge 2.65, 3 Pd 2.93

Entry 5:
The following is a DFT calculation (PBE-GGA) of crystalline ErReNO at its relaxed geometry.

Calculated values
As for the electronic total energy: -35.67 eV/f.u.

a b c (Å): 3.7720 3.7720 7.6512
angles (deg): 90.00 90.00 90.00
Closest atoms and distances in Å follow each position.
Fractional positions:
1 Er 0.2500 0.2500 0.1445  4 O 2.19
2 Er 0.7500 0.7500 0.8555  4 O 2.19
3 Re 0.2500 0.7500 0.5000  4 N 2.14
4 Re 0.7500 0.2500 0.5000  4 N 2.14
5 N 0.2500 0.2500 0.6328  4 Re 2.14
6 N 0.7500 0.7500 0.3672  4 Re 2.14
7 O 0.2500 0.7500 0.0000  4 Er 2.19
8 O 0.7500 0.2500 0.0000  4 Er 2.19

Entry 6:
The following is a DFT calculation (PBE-GGA) of crystalline HfNi2Mo at its relaxed geometry.

Calculated values
As for the energy of formation: 0.08 eV per atom. As for the electronic total energy: -31.63 eV/f.u.

a b c (Å): 6.1514 6.1514 6.1514
angles (deg): 90.00 90.00 90.00
Closest atoms and distances in Å follow each position.
Fractional positions:
1 Hf 0.0000 0.0000 0.0000  4 Mo 2.66, 4 Ni 2.66
2 Hf 0.0000 0.5000 0.5000  4 Mo 2.66, 4 Ni 2.66
3 Hf 0.5000 0.0000 0.5000  4 Mo 2.66, 4 Ni 2.66
4 Hf 0.5000 0.5000 0.0000  4 Mo 2.66, 4 Ni 2.66
5 Ni 0.0000 0.0000 0.5000  4 Mo 2.66, 4 Ni 2.66
6 Ni 0.0000 0.5000 0.0000  4 Mo 2.66, 4 Ni 2.66
7 Ni 0.2500 0.2500 0.7500  4 Hf 2.66, 4 Ni 2.66
8 Ni 0.2500 0.7500 0.2500  4 Hf 2.66, 4 Ni 2.66
9 Ni 0.5000 0.0000 0.0000  4 Mo 2.66, 4 Ni 2.66
10 Ni 0.5000 0.5000 0.5000  4 Mo 2.66, 4 Ni 2.66
11 Ni 0.7500 0.2500 0.2500  4 Hf 2.66, 4 Ni 2.66
12 Ni 0.7500 0.7500 0.7500  4 Hf 2.66, 4 Ni 2.66
13 Mo 0.2500 0.2500 0.2500  4 Hf 2.66, 4 Ni 2.66
14 Mo 0.2500 0.7500 0.7500  4 Hf 2.66, 4 Ni 2.66
15 Mo 0.7500 0.2500 0.7500  4 Hf 2.66, 4 Ni 2.66
16 Mo 0.7500 0.7500 0.2500  4 Hf 2.66, 4 Ni 2.66

Entry 7:
The following is a DFT calculation (PBE-GGA) of crystalline CsNaMoPd at its relaxed geometry.

Calculated values
As for the electronic total energy: -13.48 eV/f.u.

a b c (Å): 7.5415 7.5415 7.5415
angles (deg): 90.00 90.00 90.00
Closest atoms and distances in Å follow each position.
Fractional positions:
1 Cs 0.0000 0.0000 0.0000  4 Pd 3.27, 4 Na 3.27
2 Cs 0.0000 0.5000 0.5000  4 Pd 3.27, 4 Na 3.27
3 Cs 0.5000 0.0000 0.5000  4 Pd 3.27, 4 Na 3.27
4 Cs 0.5000 0.5000 0.0000  4 Pd 3.27, 4 Na 3.27
5 Na 0.2500 0.2500 0.7500  4 Mo 3.27, 4 Cs 3.27
6 Na 0.2500 0.7500 0.2500  4 Mo 3.27, 4 Cs 3.27
7 Na 0.7500 0.2500 0.2500  4 Mo 3.27, 4 Cs 3.27
8 Na 0.7500 0.7500 0.7500  4 Cs 3.27, 4 Mo 3.27
9 Mo 0.0000 0.0000 0.5000  4 Na 3.27, 4 Pd 3.27
10 Mo 0.0000 0.5000 0.0000  4 Na 3.27, 4 Pd 3.27
11 Mo 0.5000 0.0000 0.0000  4 Na 3.27, 4 Pd 3.27
12 Mo 0.5000 0.5000 0.5000  4 Na 3.27, 4 Pd 3.27
13 Pd 0.2500 0.2500 0.2500  4 Mo 3.27, 4 Cs 3.27
14 Pd 0.2500 0.7500 0.7500  4 Mo 3.27, 4 Cs 3.27
15 Pd 0.7500 0.2500 0.7500  4 Mo 3.27, 4 Cs 3.27
16 Pd 0.7500 0.7500 0.2500  4 Mo 3.27, 4 Cs 3.27

Entry 8:
The following is a DFT calculation (PBE-GGA) of crystalline LiTbMgCd at its relaxed geometry.

Calculated values
As for the electronic total energy: -9.83 eV/f.u.

a b c (Å): 7.0868 7.0868 7.0868
angles (deg): 90.00 90.00 90.00
Closest atoms and distances in Å follow each position.
Fractional positions:
1 Li 0.0000 0.0000 0.0000  4 Tb 3.07, 4 Mg 3.07
2 Li 0.0000 0.5000 0.5000  4 Mg 3.07, 4 Tb 3.07
3 Li 0.5000 0.0000 0.5000  4 Mg 3.07, 4 Tb 3.07
4 Li 0.5000 0.5000 0.0000  4 Tb 3.07, 4 Mg 3.07
5 Tb 0.2500 0.2500 0.7500  4 Cd 3.07, 4 Li 3.07
6 Tb 0.2500 0.7500 0.2500  4 Cd 3.07, 4 Li 3.07
7 Tb 0.7500 0.2500 0.2500  4 Cd 3.07, 4 Li 3.07
8 Tb 0.7500 0.7500 0.7500  4 Cd 3.07, 4 Li 3.07
9 Mg 0.2500 0.2500 0.2500  4 Cd 3.07, 4 Li 3.07
10 Mg 0.2500 0.7500 0.7500  4 Cd 3.07, 4 Li 3.07
11 Mg 0.7500 0.2500 0.7500  4 Cd 3.07, 4 Li 3.07
12 Mg 0.7500 0.7500 0.2500  4 Cd 3.07, 4 Li 3.07
13 Cd 0.0000 0.0000 0.5000  4 Tb 3.07, 4 Mg 3.07
14 Cd 0.0000 0.5000 0.0000  4 Tb 3.07, 4 Mg 3.07
15 Cd 0.5000 0.0000 0.0000  4 Tb 3.07, 4 Mg 3.07
16 Cd 0.5000 0.5000 0.5000  4 Tb 3.07, 4 Mg 3.07

Entry 9:
The following is a DFT calculation (PBE-GGA) of crystalline OsPbS3 at its relaxed geometry.

Calculated values
As for the electronic total energy: -28.46 eV/f.u.

a b c (Å): 8.6970 3.7135 13.0656
angles (deg): 90.00 90.00 90.00
Closest atoms and distances in Å follow each position.
Fractional positions:
1 Os 0.1791 0.2500 0.0392  6 S 2.32-2.46
2 Os 0.3209 0.7500 0.5392  6 S 2.32-2.46
3 Os 0.6791 0.2500 0.4608  6 S 2.32-2.46
4 Os 0.8209 0.7500 0.9608  6 S 2.32-2.46
5 Pb 0.0031 0.7500 0.3135  3 S 2.75-2.89
6 Pb 0.4969 0.2500 0.8135  3 S 2.75-2.89
7 Pb 0.5031 0.7500 0.1865  3 S 2.75-2.89
8 Pb 0.9969 0.2500 0.6865  3 S 2.75-2.89
9 S 0.0113 0.7500 0.0922  3 Os 2.39-2.46
10 S 0.1844 0.2500 0.4840  2 Os 2.32
11 S 0.2281 0.7500 0.7085  1 Os 2.36
12 S 0.2719 0.2500 0.2085  1 Os 2.36
13 S 0.3156 0.7500 0.9840  2 Os 2.32
14 S 0.4887 0.2500 0.5922  3 Os 2.39-2.46
15 S 0.5113 0.7500 0.4078  3 Os 2.39-2.46
16 S 0.6844 0.2500 0.0160  2 Os 2.32
17 S 0.7281 0.7500 0.7915  1 Os 2.36
18 S 0.7719 0.2500 0.2915  1 Os 2.36
19 S 0.8156 0.7500 0.5160  2 Os 2.32
20 S 0.9887 0.2500 0.9078  3 Os 2.39-2.46

Entry 10:
The following is a DFT calculation (PBE-GGA) of crystalline LuPPd at its relaxed geometry.

Calculated values
As for the electronic total energy: -18.90 eV/f.u.

a b c (Å): 6.8081 3.9432 7.7069
angles (deg): 90.00 90.00 90.00
Closest atoms and distances in Å follow each position.
Fractional positions:
1 Lu 0.0338 0.2500 0.1862  5 P 2.78-2.87, 5 Pd 2.99-3.09
2 Lu 0.4662 0.7500 0.6862  5 P 2.78-2.87, 5 Pd 2.99-3.09
3 Lu 0.5338 0.2500 0.3138  5 P 2.78-2.87, 5 Pd 2.99-3.09
4 Lu 0.9662 0.7500 0.8138  5 P 2.78-2.87, 5 Pd 2.99-3.09
5 P 0.2460 0.2500 0.8753  4 Pd 2.51-2.77, 3 Lu 2.78-2.80
6 P 0.2540 0.7500 0.3753  4 Pd 2.51-2.77, 3 Lu 2.78-2.80
7 P 0.7460 0.2500 0.6247  4 Pd 2.51-2.77, 3 Lu 2.78-2.80
8 P 0.7540 0.7500 0.1247  4 Pd 2.51-2.77, 3 Lu 2.78-2.80
9 Pd 0.1467 0.2500 0.5610  4 P 2.51-2.77
10 Pd 0.3533 0.7500 0.0610  4 P 2.51-2.77
11 Pd 0.6467 0.2500 0.9390  4 P 2.51-2.77
12 Pd 0.8533 0.7500 0.4390  4 P 2.51-2.77

Entry 11:
The following is a DFT calculation (PBE-GGA) of crystalline RbYCoS3 at its relaxed geometry.

Calculated values
As for the electronic total energy: -34.73 eV/f.u.

a b c (Å): 9.1141 3.8873 9.3635
angles (deg): 90.00 109.53 90.00
Closest atoms and distances in Å follow each position.
Fractional positions:
1 Rb 0.2031 0.2500 0.2338  7 S 3.32-3.52
2 Rb 0.7969 0.7500 0.7662  7 S 3.32-3.52
3 Y 0.3318 0.7500 0.8561  6 S 2.70-2.85
4 Y 0.6682 0.2500 0.1439  6 S 2.70-2.85
5 Co 0.0760 0.2500 0.5904  4 S 2.19-2.28
6 Co 0.9240 0.7500 0.4096  4 S 2.19-2.28
7 S 0.1176 0.2500 0.8446  1 Co 2.28
8 S 0.1735 0.7500 0.5367  3 Co 2.19-2.26
9 S 0.4644 0.7500 0.1609  3 Y 2.70-2.73
10 S 0.5356 0.2500 0.8391  3 Y 2.70-2.73
11 S 0.8265 0.2500 0.4633  3 Co 2.19-2.26
12 S 0.8824 0.7500 0.1554  1 Co 2.28

Entry 12:
The following is a DFT calculation (PBE-GGA) of crystalline Al2Tc2Ge at its relaxed geometry.

Calculated values
As for the electronic total energy: -31.23 eV/f.u.

a b c (Å): 3.6344 3.6344 12.9563
angles (deg): 90.00 90.00 90.00
Closest atoms and distances in Å follow each position.
Fractional positions:
1 Al 0.0000 0.0000 0.1004  1 Al 2.60, 4 Tc 2.66, 4 Ge 2.88
2 Al 0.0000 0.0000 0.8996  1 Al 2.60, 4 Tc 2.66, 4 Ge 2.88
3 Al 0.5000 0.5000 0.3996  1 Al 2.60, 4 Tc 2.66, 4 Ge 2.88
4 Al 0.5000 0.5000 0.6004  1 Al 2.60, 4 Tc 2.66, 4 Ge 2.88
5 Tc 0.0000 0.5000 0.2500  4 Tc 2.57, 4 Al 2.66
6 Tc 0.0000 0.5000 0.7500  4 Tc 2.57, 4 Al 2.66
7 Tc 0.5000 0.0000 0.2500  4 Tc 2.57, 4 Al 2.66
8 Tc 0.5000 0.0000 0.7500  4 Tc 2.57, 4 Al 2.66
9 Ge 0.0000 0.0000 0.5000  8 Al 2.88
10 Ge 0.5000 0.5000 0.0000  8 Al 2.88